Entry 1:
Li2NiAg | GGA-PBE | relaxed

extended XYZ file:
```
4
Lattice="-0.167 3.696 2.207 -2.216 -1.960 3.132 3.799 -1.584 -1.273" Properties=species:S:1:pos:R:3 pbc="T T T"
Ag 1.220 1.490 1.802
Li 0.000 0.000 0.000
Li 0.196 -1.338 2.264
Ni -1.192 0.868 2.670
```

Computed properties:
The formation energy comes out at -0.02 eV per atom. The calculation puts the magnetic moment at 0.00 Bohr magnetons per cell.



Entry 2:
Mn5Fe3 | GGA-PBE | relaxed

extended XYZ file:
```
8
Lattice="-2.994 -0.398 3.985 1.900 -4.522 0.971 2.493 1.482 2.021" Properties=species:S:1:pos:R:3 pbc="T T T"
Fe -0.547 -2.460 2.478
Fe 0.969 -0.509 2.270
Fe 0.430 -2.929 4.708
Mn 0.000 0.000 0.000
Mn 0.950 -2.261 0.486
Mn -1.497 -0.199 1.992
Mn -0.527 -0.686 4.244
Mn 1.926 -2.753 2.734
```

Computed properties:
The formation energy comes out at 0.03 eV per atom. The calculation puts the magnetic moment at 0.42 Bohr magnetons per cell.



Entry 3:
FeAsPC | GGA-PBE | relaxed

extended XYZ file:
```
4
Lattice="-1.640 2.250 -1.377 1.034 -2.410 -1.665 -5.311 -3.123 1.223" Properties=species:S:1:pos:R:3 pbc="T T T"
C -2.907 -0.573 -0.976
P -4.455 -1.483 -0.620
As -1.370 -0.805 0.315
Fe -4.692 -2.759 1.081
```

Computed properties:
The formation energy comes out at 0.24 eV per atom. The calculation puts the magnetic moment at 0.86 Bohr magnetons per cell.



Entry 4:
KAs2 | GGA-PBE | relaxed

extended XYZ file:
```
12
Lattice="6.639 0.000 0.000 0.000 6.717 0.000 0.000 0.000 8.730" Properties=species:S:1:pos:R:3 pbc="T T T"
As 1.660 1.376 5.495
As 4.979 1.983 1.129
As 1.660 4.734 7.601
As 4.979 5.341 3.236
As 1.660 1.377 3.266
As 4.979 1.982 7.631
As 1.660 4.735 1.099
As 4.979 5.340 5.464
K 1.660 4.769 4.350
K 4.979 5.306 8.715
K 1.660 1.411 0.015
K 4.979 1.948 4.380
```

Computed properties:
The formation energy comes out at -0.09 eV per atom. The calculation puts the magnetic moment at 0.00 Bohr magnetons per cell.